A relaxed structure of Pm3SiPb2, computed with GGA-PBE.

Structure (extended XYZ):
```
24
Lattice="12.879 0.000 0.000 0.000 4.427 0.000 0.000 0.000 12.279" Properties=species:S:1:pos:R:3 pbc="T T T"
Pm 0.753 1.107 1.464
Pm 1.439 3.321 6.684
Pm 3.130 1.107 9.606
Pm 3.310 3.321 3.467
Pm 5.001 1.107 0.544
Pm 5.687 3.321 7.603
Pm 7.192 1.107 4.676
Pm 7.878 3.321 11.735
Pm 9.570 1.107 8.812
Pm 9.749 3.321 2.672
Pm 11.441 1.107 5.595
Pm 12.127 3.321 10.815
Si 1.595 1.107 4.558
Si 4.845 3.321 10.698
Si 8.034 1.107 1.581
Si 11.285 3.321 7.721
Pb 0.105 1.107 8.685
Pb 2.464 3.321 12.228
Pb 3.976 1.107 6.089
Pb 6.334 3.321 2.545
Pb 6.545 1.107 9.734
Pb 8.903 3.321 6.190
Pb 10.416 1.107 0.051
Pb 12.774 3.321 3.594
```

## Properties
energy above the most stable polymorph in this dataset: 0.00 eV/f.u.